[1]
First-principles (PBE-GGA) data for an optimized crystal structure of Nd6InTc2, as listed in the Alexandria database.

For the total energy, the calculation gives -5.8748 eV/atom. As for the theoretical density: 7.4 Mg/m³. As for the magnetic moment: 0.0 μB per formula unit.

The structure belongs to space group Immm (No. 71); the cell edges are 9.856, 10.027 and 10.668 Å and the angles 90.00°, 90.00° and 90.00°. The distinct sites, in fractional coordinates, are Nd at (0.000, 0.215, 0.231), Nd at (0.209, 0.500, 0.187), Nd at (0.215, 0.308, 0.500), In at (0.000, 0.000, 0.000), In at (0.000, 0.000, 0.500), Tc at (0.000, 0.381, 0.000) and Tc at (0.000, 0.500, 0.389).

[2]
First-principles (PBE-GGA) data for an optimized crystal structure of Nd8In2Tc, as listed in the Alexandria database.

For the total energy, the calculation gives -5.0769 eV/atom. As for the theoretical density: 7.3 Mg/m³. As for the magnetic moment: 0.0 μB per formula unit.

The structure belongs to space group Immm (No. 71); the cell edges are 5.741, 7.129 and 16.387 Å and the angles 90.00°, 90.00° and 90.00°. The distinct sites, in fractional coordinates, are Nd at (0.000, 0.000, 0.195), Nd at (0.000, 0.237, 0.375), Nd at (0.000, 0.247, 0.000), In at (0.000, 0.500, 0.186) and Tc at (0.000, 0.500, 0.500).